No. 1
VASP calculation (GGA-PBE) on MoOsSe2N after structural relaxation. Values from VASP.

Cell and atoms, written as Quantum ESPRESSO input:
```
&SYSTEM
  ibrav = 0, nat = 5, ntyp = 4
/
ATOMIC_SPECIES
N 14.01 N.upf
Mo 95.94 Mo.upf
Os 190.23 Os.upf
Se 78.96 Se.upf
ATOMIC_POSITIONS angstrom
N 1.6660 -0.3122 0.7713
Mo 0.0000 0.0000 0.0000
Os 2.5013 -2.4787 -1.9097
Se 1.0911 0.2890 -2.2396
Se -0.2558 -2.4555 -0.4414
CELL_PARAMETERS angstrom
-0.5116 -4.9110 -0.8829
2.1821 0.5780 -4.4792
3.3319 -0.6244 1.5427
```

Results
Relative energy among the computed polymorphs ... 163 kJ/mol of formula units
DFT total energy ... -31.74 eV for the cell shown



No. 2
VASP calculation (GGA-PBE) on BaLa3Ru after structural relaxation. Values from VASP.

Cell and atoms, written as Quantum ESPRESSO input:
```
&SYSTEM
  ibrav = 0, nat = 10, ntyp = 3
/
ATOMIC_SPECIES
La 138.91 La.upf
Ba 137.33 Ba.upf
Ru 101.07 Ru.upf
ATOMIC_POSITIONS angstrom
La 3.3429 1.3335 7.4092
La -3.3429 -1.3335 5.2923
La 2.8264 -2.2283 5.2923
La 0.5166 3.5618 5.2923
La -0.5166 -3.5618 7.4092
La -2.8264 2.2283 7.4092
Ba 0.0000 0.0000 0.0000
Ba 0.0000 0.0000 6.3508
Ru 0.0000 0.0000 9.5261
Ru 0.0000 0.0000 3.1754
CELL_PARAMETERS angstrom
5.6527 0.0000 4.2338
-2.8264 4.8954 4.2338
-2.8264 -4.8954 4.2338
```

Results
Relative energy among the computed polymorphs ... 144 kJ/mol of formula units
DFT total energy ... -50.46 eV for the cell shown



No. 3
VASP calculation (GGA-PBE) on ZnIn2HgH after structural relaxation. Values from VASP.

Cell and atoms, written as Quantum ESPRESSO input:
```
&SYSTEM
  ibrav = 0, nat = 5, ntyp = 4
/
ATOMIC_SPECIES
Zn 65.41 Zn.upf
In 114.82 In.upf
H 1.01 H.upf
Hg 200.59 Hg.upf
ATOMIC_POSITIONS angstrom
Zn 0.0000 0.0000 0.0000
In -0.6969 -1.0299 2.4965
In 2.2495 -1.6481 -0.0520
H 0.9178 1.2287 0.7631
Hg 2.4704 -1.4493 3.2076
CELL_PARAMETERS angstrom
-1.3937 -2.0598 4.9931
4.4990 -3.2961 -0.1040
1.8356 2.4574 1.5261
```

Results
DFT total energy ... -9.44 eV for the cell shown



The evaluated magnetization for the records listed, in turn: 2.51 0.00 0.00 μB per formula unit.